Record 1
Crystalline HfTa2Ir2 at its relaxed geometry. Source: Alexandria via LeMat-Bulk, functional PBE.

abc: 7.655 7.655 3.031
angles: 90.00 90.00 90.00
Fractional positions:
Hf1 0.500 0.500 0.000
Hf2 0.000 0.000 0.000
Ta1 0.666 0.834 0.500
Ta2 0.334 0.166 0.500
Ta3 0.834 0.334 0.500
Ta4 0.166 0.666 0.500
Ir1 0.631 0.131 0.000
Ir2 0.369 0.869 0.000
Ir3 0.869 0.631 0.000
Ir4 0.131 0.369 0.000

## Properties
energy above the lowest structure with this stoichiometry = 0.0000 eV/atom
formation enthalpy at 0 K = -460 meV per atom

---

Record 2
Crystalline Cs2KMgHg at its relaxed geometry. Source: Alexandria via LeMat-Bulk, functional PBE.

abc: 7.454 7.454 5.622
angles: 90.00 90.00 90.00
Fractional positions:
Mg1 0.000 0.000 0.500
K1 0.500 0.500 0.500
Hg1 0.000 0.000 0.000
Cs1 0.000 0.500 0.000
Cs2 0.500 0.000 0.000

## Properties
energy above the lowest structure with this stoichiometry = 0.0000 eV/atom
formation enthalpy at 0 K = 23 meV per atom

---

Record 3
Crystalline Y3C2Br2 at its relaxed geometry. Source: Alexandria via LeMat-Bulk, functional PBE.

abc: 3.605 6.341 7.428
angles: 98.20 90.13 106.59
Last column: magnetic moment on the atom in μB.
Fractional positions:
Y1 0.000 0.000 0.000  0.04
Y2 0.770 0.539 0.203  0.05
Y3 0.230 0.461 0.797  0.05
Br1 0.877 0.756 0.617  0.01
Br2 0.123 0.244 0.383  0.01
C1 0.365 0.730 0.065  0.17
C2 0.635 0.270 0.935  0.17

## Properties
formation energy from raw total energies = -0.7492 eV per atom

---

Record 4
Crystalline Zn at its relaxed geometry. Source: Alexandria via LeMat-Bulk, functional PBE.

abc: 2.648 4.528 4.528
angles: 120.00 90.00 90.00
Fractional positions:
Zn1 0.500 0.333 0.667
Zn2 0.000 0.000 0.000
Zn3 0.500 0.667 0.333

## Properties
energy above the lowest structure with this stoichiometry = 0.0971 eV/atom
formation enthalpy at 0 K = 97 meV per atom

---

Record 5
Crystalline Cs3TmSb2O8 at its relaxed geometry. Source: Alexandria via LeMat-Bulk, functional PBE.

abc: 6.290 6.290 8.665
angles: 90.00 90.00 120.00
Fractional positions:
Cs1 0.000 0.000 0.000
Cs2 0.667 0.333 0.267
Cs3 0.333 0.667 0.733
O1 0.168 0.832 0.351
O2 0.832 0.665 0.649
O3 0.665 0.832 0.351
O4 0.832 0.168 0.649
O5 0.335 0.168 0.649
O6 0.667 0.333 0.940
O7 0.333 0.667 0.060
O8 0.168 0.335 0.351
Tm1 0.000 0.000 0.500
Sb1 0.333 0.667 0.277
Sb2 0.667 0.333 0.723

## Properties
formation energy from raw total energies = -1.8855 eV per atom

---

Record 6
Crystalline MnCuI3 at its relaxed geometry. Source: Alexandria via LeMat-Bulk, functional PBE.

abc: 5.437 5.437 5.437
angles: 90.00 90.00 90.00
Last column: magnetic moment on the atom in μB.
Fractional positions:
Mn1 0.500 0.500 0.500  4.71
I1 0.500 0.000 0.000  0.04
I2 0.000 0.000 0.500  0.04
I3 0.000 0.500 0.000  0.07
Cu1 0.000 0.000 0.000  0.01

## Properties
energy above the lowest structure with this stoichiometry = 0.6654 eV/atom
formation energy from raw total energies = 0.3816 eV per atom

---

Record 7
Crystalline HfMnGe2 at its relaxed geometry. Source: Alexandria via LeMat-Bulk, functional PBE.

abc: 4.464 4.464 4.464
angles: 60.00 60.00 60.00
Fractional positions:
Ge1 0.750 0.750 0.750
Ge2 0.250 0.250 0.250
Mn1 0.000 0.000 0.000
Hf1 0.500 0.500 0.500

## Properties
formation enthalpy at 0 K = 5 meV per atom

---

Record 8
Crystalline CrFeCl at its relaxed geometry. Source: Alexandria via LeMat-Bulk, functional PBE.

abc: 3.107 3.107 5.605
angles: 90.00 90.00 120.00
Last column: magnetic moment on the atom in μB.
Fractional positions:
Fe1 0.333 0.667 0.632  2.41
Cl1 0.000 0.000 0.019  0.00
Cr1 0.667 0.333 0.349  -2.91

## Properties
energy above the lowest structure with this stoichiometry = 0.0000 eV/atom
formation energy from raw total energies = 0.2793 eV per atom